(1)
# Dy5Tl4Ag | OQMD | PBE | optimized geometry
data_Dy5Tl4Ag
_chemical_formula_sum 'Dy5 Tl4 Ag1'
_symmetry_space_group_name_H-M 'P 4/m m m'
_symmetry_Int_Tables_number 123
_symmetry_space_group_name_Hall '-P 4 2'
_cell_length_a 3.620
_cell_length_b 3.620
_cell_length_c 20.274
_cell_angle_alpha 90.00
_cell_angle_beta 90.00
_cell_angle_gamma 90.00
loop_
_atom_site_label
_atom_site_fract_x
_atom_site_fract_y
_atom_site_fract_z
_atom_site_occupancy
Dy1 0.000 0.000 0.000 1
Dy2 0.000 0.000 0.206 1
Dy3 0.000 0.000 0.411 1
Tl1 0.500 0.500 0.103 1
Tl2 0.500 0.500 0.309 1
Ag1 0.500 0.500 0.500 1
# Energy = -38.7 eV for the cell shown

(2)
# DyYTlAg2 | OQMD | PBE | optimized geometry
data_DyYTlAg2
_chemical_formula_sum 'Dy2 Y2 Tl2 Ag4'
_symmetry_space_group_name_H-M 'A m m 2'
_symmetry_Int_Tables_number 38
_symmetry_space_group_name_Hall 'A 2 -2'
_cell_length_a 3.529
_cell_length_b 4.583
_cell_length_c 14.807
_cell_angle_alpha 90.00
_cell_angle_beta 90.00
_cell_angle_gamma 90.00
loop_
_atom_site_label
_atom_site_fract_x
_atom_site_fract_y
_atom_site_fract_z
_atom_site_occupancy
Dy1 0.000 0.000 0.000 1
Y1 0.000 0.000 0.244 1
Tl1 0.500 0.000 0.622 1
Ag1 0.500 0.000 0.424 1
Ag2 0.500 0.000 0.821 1
# Energy = -41.3 eV for the cell shown

(3)
# DyTm4Ag5 | OQMD | PBE | optimized geometry
data_DyTm4Ag5
_chemical_formula_sum 'Dy1 Tm4 Ag5'
_symmetry_space_group_name_H-M 'P 4/m m m'
_symmetry_Int_Tables_number 123
_symmetry_space_group_name_Hall '-P 4 2'
_cell_length_a 3.578
_cell_length_b 3.578
_cell_length_c 17.984
_cell_angle_alpha 90.00
_cell_angle_beta 90.00
_cell_angle_gamma 90.00
loop_
_atom_site_label
_atom_site_fract_x
_atom_site_fract_y
_atom_site_fract_z
_atom_site_occupancy
Dy1 0.000 0.000 0.000 1
Tm1 0.000 0.000 0.202 1
Tm2 0.000 0.000 0.401 1
Ag1 0.500 0.500 0.103 1
Ag2 0.500 0.500 0.301 1
Ag3 0.500 0.500 0.500 1
# Energy of formation = -3.47 eV per formula unit
# Energy = -40.1 eV for the cell shown